[1]
Entry from the Alexandria database: an optimized crystal structure of Ga8IrRh2 (GGA-PBE).

Results
ΔH_f (0 K): -386 meV/atom
Crystal system: monoclinic
Symmetry: C2/m, No. 12

Unit cell a=4.0450 b=5.3514 c=9.0944 alpha=110.56 beta=102.85 gamma=90.00
With the nearest neighbours (Å) after each atom.
Atoms (fractional coordinates):
1 Ga 0.3914 0.5450 0.7828  1 Ir 2.50, 1 Ga 2.66, 2 Rh 2.70
2 Ga 0.6441 0.9829 0.2882  1 Ir 2.59, 3 Rh 2.65-2.70, 6 Ga 2.66-2.82
3 Ga 0.7797 0.6896 0.5593  4 Rh 2.62-2.80, 5 Ga 2.70-2.83
4 Ga 0.9695 0.2421 0.9390  2 Ir 2.56, 3 Ga 2.58-2.80
5 Ga 0.2203 0.3104 0.4407  4 Rh 2.62-2.80, 5 Ga 2.70-2.83
6 Ga 0.3559 0.0171 0.7118  1 Ir 2.59, 3 Rh 2.65-2.70, 6 Ga 2.66-2.82
7 Ga 0.6086 0.4550 0.2172  1 Ir 2.50, 1 Ga 2.66, 2 Rh 2.70
8 Ga 0.0305 0.7579 0.0610  2 Ir 2.56, 3 Ga 2.58-2.80
9 Ir 0.5000 0.0000 0.0000  8 Ga 2.50-2.59
10 Rh 0.8058 0.2383 0.6116  10 Ga 2.62-2.90
11 Rh 0.1942 0.7617 0.3884  10 Ga 2.62-2.90

---

[2]
Entry from the Alexandria database: an optimized crystal structure of Rb2TaTl3Se6 (GGA-PBE).

Results
Uncorrected formation energy: -0.657 eV/atom
Crystal system: monoclinic
Symmetry: C2/m, No. 12

Unit cell a=8.5092 b=8.5092 c=7.2533 alpha=99.81 beta=99.81 gamma=124.05
With the nearest neighbours (Å) after each atom.
Atoms (fractional coordinates):
1 Rb 0.3209 0.6791 0.0000  6 Se 3.45-3.48
2 Rb 0.6791 0.3209 0.0000  6 Se 3.45-3.48
3 Ta 0.0000 0.0000 0.0000  6 Se 2.60-2.63
4 Tl 0.1264 0.8736 0.5000  4 Se 2.93-2.98
5 Tl 0.8736 0.1264 0.5000  4 Se 2.93-2.98
6 Tl 0.5000 0.5000 0.5000  4 Se 3.11
7 Se 0.9232 0.6761 0.7760  1 Ta 2.60
8 Se 0.7834 0.7834 0.1996  1 Ta 2.63, 2 Tl 2.93
9 Se 0.0768 0.3239 0.2240  1 Ta 2.60
10 Se 0.6761 0.9232 0.7760  1 Ta 2.60
11 Se 0.2166 0.2166 0.8004  1 Ta 2.63, 2 Tl 2.93
12 Se 0.3239 0.0768 0.2240  1 Ta 2.60